No. 1
Density functional theory data (GGA-PBE) for a geometry-optimized ReGeBi2Br structure.

CIF file:
```
data_ReGeBi2Br
_symmetry_space_group_name_H-M 'P 1'
_symmetry_Int_Tables_number 1
_cell_length_a 5.543
_cell_length_b 5.543
_cell_length_c 5.070
_cell_angle_alpha 90.00
_cell_angle_beta 90.00
_cell_angle_gamma 90.00
loop_
_symmetry_equiv_pos_as_xyz
'x,y,z'
loop_
_atom_site_label
_atom_site_fract_x
_atom_site_fract_y
_atom_site_fract_z
Re1 0.000 0.000 0.000
Ge1 0.500 0.500 0.500
Bi1 0.000 0.500 0.500
Bi2 0.500 0.000 0.500
Br1 0.500 0.500 0.000
```

Properties
Energy: -19.4 eV for the cell shown
DOS at the Fermi energy: 2.58 states/eV per cell
Energy relative to the elements, uncorrected: 7.08 eV/f.u.

No. 2
Density functional theory data (GGA-PBE) for a geometry-optimized YTa2Ag structure.

CIF file:
```
data_YTa2Ag
_symmetry_space_group_name_H-M 'P 1'
_symmetry_Int_Tables_number 1
_cell_length_a 2.991
_cell_length_b 2.991
_cell_length_c 9.402
_cell_angle_alpha 90.00
_cell_angle_beta 90.00
_cell_angle_gamma 103.16
loop_
_symmetry_equiv_pos_as_xyz
'x,y,z'
loop_
_atom_site_label
_atom_site_fract_x
_atom_site_fract_y
_atom_site_fract_z
Y1 0.000 0.000 0.000
Ta1 0.000 0.000 0.499
Ta2 0.500 0.500 0.273
Ag1 0.500 0.500 0.734
```

Properties
Energy relative to the lowest polymorph listed for this composition: 54.9 meV per atom
Energy: -32.1 eV for the cell shown
DOS at the Fermi energy: 4.35 states/eV per cell
Formation energy from the elements: 237 meV/atom

No. 3
Density functional theory data (GGA-PBE) for a geometry-optimized HoPuCuHg structure.

CIF file:
```
data_HoPuCuHg
_symmetry_space_group_name_H-M 'P 1'
_symmetry_Int_Tables_number 1
_cell_length_a 5.133
_cell_length_b 5.133
_cell_length_c 5.133
_cell_angle_alpha 60.00
_cell_angle_beta 60.00
_cell_angle_gamma 60.00
loop_
_symmetry_equiv_pos_as_xyz
'x,y,z'
loop_
_atom_site_label
_atom_site_fract_x
_atom_site_fract_y
_atom_site_fract_z
Ho1 0.000 0.000 0.000
Pu1 0.500 0.500 0.500
Cu1 0.750 0.750 0.750
Hg1 0.250 0.250 0.250
```

Properties
Energy: -23.7 eV for the cell shown
DOS at the Fermi energy: 10.16 states/eV per cell
Formation energy from the elements: -99 meV/atom

No. 4
Density functional theory data (GGA-PBE) for a geometry-optimized Pr2AlAgS5 structure.

CIF file:
```
data_Pr2AlAgS5
_symmetry_space_group_name_H-M 'P 1'
_symmetry_Int_Tables_number 1
_cell_length_a 9.007
_cell_length_b 9.007
_cell_length_c 11.377
_cell_angle_alpha 90.00
_cell_angle_beta 90.00
_cell_angle_gamma 154.85
loop_
_symmetry_equiv_pos_as_xyz
'x,y,z'
loop_
_atom_site_label
_atom_site_fract_x
_atom_site_fract_y
_atom_site_fract_z
Pr1 0.119 0.881 0.500
Pr2 0.126 0.874 0.117
Pr3 0.874 0.126 0.617
Pr4 0.881 0.119 0.000
Al1 0.432 0.568 0.270
Al2 0.568 0.432 0.770
Ag1 0.226 0.774 0.841
Ag2 0.774 0.226 0.341
S1 0.042 0.958 0.873
S2 0.292 0.708 0.495
S3 0.320 0.680 0.174
S4 0.369 0.631 0.813
S5 0.497 0.503 0.097
S6 0.503 0.497 0.597
S7 0.631 0.369 0.313
S8 0.680 0.320 0.674
S9 0.708 0.292 0.995
S10 0.958 0.042 0.373
```

Properties
Energy: -99.2 eV for the cell shown
Energy relative to the elements, uncorrected: -12.81 eV/f.u.

No. 5
Density functional theory data (GGA-PBE) for a geometry-optimized BC2 structure.

CIF file:
```
data_BC2
_symmetry_space_group_name_H-M 'P 1'
_symmetry_Int_Tables_number 1
_cell_length_a 5.938
_cell_length_b 5.938
_cell_length_c 5.337
_cell_angle_alpha 105.79
_cell_angle_beta 105.79
_cell_angle_gamma 24.98
loop_
_symmetry_equiv_pos_as_xyz
'x,y,z'
loop_
_atom_site_label
_atom_site_fract_x
_atom_site_fract_y
_atom_site_fract_z
B1 0.000 0.000 0.000
B2 0.086 0.086 0.366
B3 0.345 0.345 0.709
B4 0.692 0.692 0.372
C1 0.005 0.005 0.549
C2 0.096 0.096 0.833
C3 0.347 0.347 0.210
C4 0.425 0.425 0.504
C5 0.431 0.431 0.031
C6 0.679 0.679 0.876
C7 0.755 0.755 0.682
C8 0.766 0.766 0.162
```

Properties
Energy relative to the lowest polymorph listed for this composition: 101.3 meV per atom
Energy: -96.4 eV for the cell shown
DOS at the Fermi energy: 1.61 states/eV per cell
Formation energy from the elements: 341 meV/atom

No. 6
Density functional theory data (GGA-PBE) for a geometry-optimized CePr8Ho3 structure.

CIF file:
```
data_CePr8Ho3
_symmetry_space_group_name_H-M 'P 1'
_symmetry_Int_Tables_number 1
_cell_length_a 8.510
_cell_length_b 8.510
_cell_length_c 8.510
_cell_angle_alpha 117.93
_cell_angle_beta 117.93
_cell_angle_gamma 93.63
loop_
_symmetry_equiv_pos_as_xyz
'x,y,z'
loop_
_atom_site_label
_atom_site_fract_x
_atom_site_fract_y
_atom_site_fract_z
Ce1 0.000 0.000 0.000
Pr1 0.120 0.120 0.756
Pr2 0.220 0.220 0.476
Pr3 0.256 0.780 0.000
Pr4 0.364 0.364 0.244
Pr5 0.636 0.880 0.000
Pr6 0.744 0.744 0.524
Pr7 0.780 0.256 0.000
Pr8 0.880 0.636 0.000
Ho1 0.250 0.750 0.500
Ho2 0.500 0.500 0.000
Ho3 0.750 0.250 0.500
```

Properties
Energy: -51.5 eV for the cell shown
DOS at the Fermi energy: 19.90 states/eV per cell
Formation energy from the elements: 536 meV/atom

No. 7
Density functional theory data (GGA-PBE) for a geometry-optimized LaZr6Sc12 structure.

CIF file:
```
data_LaZr6Sc12
_symmetry_space_group_name_H-M 'P 1'
_symmetry_Int_Tables_number 1
_cell_length_a 8.129
_cell_length_b 8.129
_cell_length_c 8.129
_cell_angle_alpha 101.94
_cell_angle_beta 101.94
_cell_angle_gamma 101.94
loop_
_symmetry_equiv_pos_as_xyz
'x,y,z'
loop_
_atom_site_label
_atom_site_fract_x
_atom_site_fract_y
_atom_site_fract_z
La1 0.000 0.000 0.000
Zr1 0.236 0.236 0.729
Zr2 0.236 0.729 0.236
Zr3 0.271 0.764 0.764
Zr4 0.729 0.236 0.236
Zr5 0.764 0.271 0.764
Zr6 0.764 0.764 0.271
Sc1 0.115 0.500 0.885
Sc2 0.115 0.885 0.500
Sc3 0.161 0.445 0.445
Sc4 0.445 0.161 0.445
Sc5 0.445 0.445 0.161
Sc6 0.500 0.115 0.885
Sc7 0.500 0.885 0.115
Sc8 0.555 0.555 0.839
Sc9 0.555 0.839 0.555
Sc10 0.839 0.555 0.555
Sc11 0.885 0.115 0.500
Sc12 0.885 0.500 0.115
```

Properties
Energy: -123.7 eV for the cell shown
DOS at the Fermi energy: 34.66 states/eV per cell
Formation energy from the elements: 448 meV/atom

No. 8
Density functional theory data (GGA-PBE) for a geometry-optimized La2GaB structure.

CIF file:
```
data_La2GaB
_symmetry_space_group_name_H-M 'P 1'
_symmetry_Int_Tables_number 1
_cell_length_a 6.566
_cell_length_b 6.566
_cell_length_c 6.566
_cell_angle_alpha 109.22
_cell_angle_beta 109.22
_cell_angle_gamma 109.97
loop_
_symmetry_equiv_pos_as_xyz
'x,y,z'
loop_
_atom_site_label
_atom_site_fract_x
_atom_site_fract_y
_atom_site_fract_z
La1 0.067 0.625 0.942
La2 0.375 0.317 0.442
La3 0.683 0.125 0.058
La4 0.875 0.933 0.558
Ga1 0.250 0.750 0.500
Ga2 0.500 0.500 0.000
B1 0.000 0.000 0.000
B2 0.750 0.250 0.500
```

Properties
Energy relative to the lowest polymorph listed for this composition: 92.3 meV per atom
Energy: -38.0 eV for the cell shown
DOS at the Fermi energy: 5.55 states/eV per cell
Formation energy from the elements: 139 meV/atom

> The lowest energy belongs to which entry?

LaZr6Sc12

Repeat the first record exactly.
Density functional theory data (GGA-PBE) for a geometry-optimized ReGeBi2Br structure.

CIF file:
```
data_ReGeBi2Br
_symmetry_space_group_name_H-M 'P 1'
_symmetry_Int_Tables_number 1
_cell_length_a 5.543
_cell_length_b 5.543
_cell_length_c 5.070
_cell_angle_alpha 90.00
_cell_angle_beta 90.00
_cell_angle_gamma 90.00
loop_
_symmetry_equiv_pos_as_xyz
'x,y,z'
loop_
_atom_site_label
_atom_site_fract_x
_atom_site_fract_y
_atom_site_fract_z
Re1 0.000 0.000 0.000
Ge1 0.500 0.500 0.500
Bi1 0.000 0.500 0.500
Bi2 0.500 0.000 0.500
Br1 0.500 0.500 0.000
```

Properties
Energy: -19.4 eV for the cell shown
DOS at the Fermi energy: 2.58 states/eV per cell
Energy relative to the elements, uncorrected: 7.08 eV/f.u.

> Among the records above, which one has the highest energy?

ReGeBi2Br

> The highest energy belongs to which entry?

ReGeBi2Br